(1)
Compound: LiPuNiPt
Source: Alexandria via LeMat-Bulk
Functional: PBE-GGA
Structure: optimized geometry

abc: 6.531 6.531 6.531
angles: 90.00 90.00 90.00
Fractional coordinates of all 16 atoms:
Li 0.000 0.000 0.000
Li 0.000 0.500 0.500
Li 0.500 0.000 0.500
Li 0.500 0.500 0.000
Pu 0.000 0.000 0.500
Pu 0.000 0.500 0.000
Pu 0.500 0.000 0.000
Pu 0.500 0.500 0.500
Ni 0.250 0.250 0.750
Ni 0.250 0.750 0.250
Ni 0.750 0.250 0.250
Ni 0.750 0.750 0.750
Pt 0.250 0.250 0.250
Pt 0.250 0.750 0.750
Pt 0.750 0.250 0.750
Pt 0.750 0.750 0.250

Values from the calculation:
ρ: 12.03 g/cm3
total magnetization: 4.86 μB per formula unit
DFT formation energy: -0.304 eV/atom
total DFT energy (no corrections): -117.13 eV for the cell shown
symmetry: F-43m, No. 216

***

(2)
Compound: LiNi2PtS
Source: Alexandria via LeMat-Bulk
Functional: PBE-GGA
Structure: optimized geometry

abc: 4.063 4.063 4.001
angles: 90.00 90.00 90.00
Fractional coordinates of all 5 atoms:
Li 0.000 0.000 0.000
Ni 0.000 0.500 0.000
Ni 0.500 0.000 0.000
Pt 0.500 0.500 0.500
S 0.000 0.000 0.500

Values from the calculation:
ρ: 8.84 g/cm3
raw formation energy: 0.679 eV per atom
total magnetization: 1.51 μB per formula unit
total DFT energy (no corrections): -20.25 eV for the cell shown
symmetry: P4/mmm, No. 123

***

(3)
Compound: LiNi2SbPt
Source: Alexandria via LeMat-Bulk
Functional: PBE-GGA
Structure: optimized geometry

abc: 4.034 4.034 4.519
angles: 90.00 90.00 90.00
Fractional coordinates of all 5 atoms:
Li 0.000 0.000 0.000
Ni 0.000 0.500 0.000
Ni 0.500 0.000 0.000
Sb 0.000 0.000 0.500
Pt 0.500 0.500 0.500

Values from the calculation:
ρ: 9.96 g/cm3
raw formation energy: 0.566 eV per atom
total magnetization: 0.00 μB per formula unit
total DFT energy (no corrections): -20.81 eV for the cell shown
symmetry: P4/mmm, No. 123

***

(4)
Compound: LiTiNiPt
Source: Alexandria via LeMat-Bulk
Functional: PBE-GGA
Structure: optimized geometry

abc: 3.935 3.935 6.946
angles: 90.00 90.00 90.00
Fractional coordinates of all 8 atoms:
Li 0.000 0.000 0.000
Li 0.500 0.500 0.500
Ti 0.000 0.000 0.500
Ti 0.500 0.500 0.000
Ni 0.000 0.500 0.250
Ni 0.500 0.000 0.750
Pt 0.000 0.500 0.750
Pt 0.500 0.000 0.250

Values from the calculation:
ρ: 9.53 g/cm3
total magnetization: 0.00 μB per formula unit
DFT formation energy: -0.567 eV/atom
total DFT energy (no corrections): -47.80 eV for the cell shown
symmetry: I-4m2, No. 119